Computed, not measured: an optimized crystal structure of SrAlGaCu2 at the PBE-GGA level of DFT.

```
data_SrAlGaCu2
_chemical_formula_sum 'Sr2 Al2 Ga2 Cu4'
_cell_length_a 4.373
_cell_length_b 4.373
_cell_length_c 10.142
_cell_angle_alpha 90.00
_cell_angle_beta 90.00
_cell_angle_gamma 90.00
_space_group_name_H-M_alt 'P 1'
_space_group_IT_number 1
_space_group_name_Hall 'P 1'
loop_
_atom_site_label
_atom_site_type_symbol
_atom_site_fract_x
_atom_site_fract_y
_atom_site_fract_z
Al1 Al 0.000 0.500 0.116
Al2 Al 0.500 0.000 0.884
Cu1 Cu 0.000 0.000 0.000
Cu2 Cu 0.500 0.500 0.000
Cu3 Cu 0.000 0.500 0.369
Cu4 Cu 0.500 0.000 0.631
Ga1 Ga 0.000 0.000 0.500
Ga2 Ga 0.500 0.500 0.500
Sr1 Sr 0.500 0.000 0.250
Sr2 Sr 0.000 0.500 0.750
```

Properties
ρ (kg/m³): 5331
Final energy (eV per atom): -3.424